A plane-wave DFT calculation with PBE with a Hubbard U was carried out for an optimized crystal structure of Li4Fe3Co2Cu3O16.

Unit cell a=5.7810 b=5.7818 c=9.2611 alpha=89.67 beta=89.56 gamma=60.54
Last column: nearest neighbours and their distance in Å.
Space group P1 (No. 1)
Inequivalent atoms, fractional coordinates:
Li 0.0000 0.0000 0.0000 x1  4 O 1.80-1.98
Li 0.0195 0.0070 0.5061 x1  4 O 1.77-1.95
Li 0.3264 0.3165 0.9085 x1  4 O 1.92-1.95
Li 0.6748 0.6635 0.4019 x1  4 O 1.94-1.96
Fe 0.1739 0.6573 0.2211 x1  6 O 1.90-1.98
Fe 0.6674 0.1636 0.2210 x1  6 O 1.88-1.95
Fe 0.8346 0.8245 0.7223 x1  6 O 1.95-2.07
Co 0.3475 0.3353 0.4940 x1  6 O 1.81-1.97
Co 0.6636 0.6555 0.9950 x1  6 O 1.87-2.06
Cu 0.1759 0.1635 0.2225 x1  6 O 1.94-2.06
Cu 0.3510 0.8161 0.7216 x1  5 O 1.87-2.07
Cu 0.8281 0.3412 0.7212 x1  5 O 1.87-2.06
O 0.9995 0.9917 0.3162 x1  1 Li 1.77, 2 Fe 1.89-1.90, 1 Cu 1.94
O 0.0135 0.0044 0.8063 x1  1 Li 1.80, 2 Cu 1.87, 1 Fe 1.96
O 0.0545 0.4833 0.3552 x1  1 Fe 1.92, 1 Li 1.96, 1 Co 1.96, 1 Cu 2.04
O 0.1790 0.6602 0.6002 x1  1 Co 1.91, 1 Li 1.95, 1 Cu 1.99, 1 Fe 2.06
O 0.1906 0.1810 0.5955 x1  1 Co 1.81, 1 Li 1.92
O 0.3270 0.8219 0.1043 x1  1 Fe 1.91, 1 Li 1.92, 1 Co 1.97, 1 Cu 2.04
O 0.3455 0.3318 0.1173 x1  2 Fe 1.89-1.90, 1 Cu 1.94, 1 Li 1.94
O 0.4888 0.4763 0.3439 x1  1 Li 1.94, 2 Fe 1.95-1.96, 1 Co 1.97
O 0.4989 0.0426 0.3534 x1  1 Fe 1.89, 1 Li 1.96, 1 Co 1.97, 1 Cu 2.05
O 0.5208 0.5066 0.8695 x1  1 Co 1.87, 1 Li 1.95, 2 Cu 2.06-2.07
O 0.5224 0.9447 0.8608 x1  1 Co 1.91, 1 Li 1.93, 1 Cu 1.99, 1 Fe 2.03
O 0.6676 0.6573 0.6137 x1  2 Cu 1.88, 1 Fe 1.95, 1 Li 1.96
O 0.6706 0.1686 0.5991 x1  1 Co 1.90, 1 Li 1.95, 1 Cu 2.01, 1 Fe 2.07
O 0.8243 0.3226 0.1099 x1  1 Fe 1.88, 1 Li 1.92, 1 Co 1.98, 1 Cu 2.06
O 0.8338 0.8309 0.1150 x1  2 Fe 1.94-1.98, 1 Li 1.98, 1 Co 2.06
O 0.9549 0.5143 0.8620 x1  1 Co 1.91, 1 Li 1.92, 1 Cu 2.00, 1 Fe 2.03

Properties
As for the calculated volume: 269.5 Å³ per cell. The energy comes out at -0.202 hartree per atom.